[1]
The following is a DFT calculation (SCAN) of ZrFeNi2Os at its PBEsol-relaxed geometry.

```
data_ZrFeNi2Os
_chemical_formula_sum 'Zr1 Fe1 Ni2 Os1'
_space_group_name_H-M_alt 'P 1'
_space_group_IT_number 1
_space_group_name_Hall 'P 1'
_cell_length_a 4.1960
_cell_length_b 4.1960
_cell_length_c 4.3894
_cell_angle_alpha 90.00
_cell_angle_beta 90.00
_cell_angle_gamma 90.00
loop_
_atom_site_label
_atom_site_type_symbol
_atom_site_fract_x
_atom_site_fract_y
_atom_site_fract_z
_atom_site_occupancy
Ni1 Ni 0.0000 0.5000 0.0000 1
Ni2 Ni 0.5000 0.0000 0.0000 1
Os1 Os 0.0000 0.0000 0.5000 1
Fe1 Fe 0.0000 0.0000 0.0000 1
Zr1 Zr 0.5000 0.5000 0.5000 1
```

As for the formation energy: 0.638 eV per atom. As for the space group: No. 123.

***

[2]
The following is a DFT calculation (SCAN) of Ta5Mo3 at its PBEsol-relaxed geometry.

```
data_Ta5Mo3
_chemical_formula_sum 'Ta5 Mo3'
_space_group_name_H-M_alt 'P 1'
_space_group_IT_number 1
_space_group_name_Hall 'P 1'
_cell_length_a 5.5626
_cell_length_b 5.5626
_cell_length_c 5.5626
_cell_angle_alpha 109.47
_cell_angle_beta 109.47
_cell_angle_gamma 109.47
loop_
_atom_site_label
_atom_site_type_symbol
_atom_site_fract_x
_atom_site_fract_y
_atom_site_fract_z
_atom_site_occupancy
Mo1 Mo 0.0000 0.5000 0.5000 1
Mo2 Mo 0.5000 0.0000 0.5000 1
Mo3 Mo 0.5000 0.5000 0.0000 1
Ta1 Ta 0.0000 0.5000 0.0000 1
Ta2 Ta 0.5000 0.0000 0.0000 1
Ta3 Ta 0.5000 0.5000 0.5000 1
Ta4 Ta 0.0000 0.0000 0.0000 1
Ta5 Ta 0.0000 0.0000 0.5000 1
```

As for the formation energy: -0.141 eV per atom. As for the space group: No. 229.

***

[3]
The following is a DFT calculation (SCAN) of HgMo2Pb at its PBEsol-relaxed geometry.

```
data_HgMo2Pb
_chemical_formula_sum 'Hg1 Mo2 Pb1'
_space_group_name_H-M_alt 'P 1'
_space_group_IT_number 1
_space_group_name_Hall 'P 1'
_cell_length_a 2.9335
_cell_length_b 5.4809
_cell_length_c 5.4884
_cell_angle_alpha 117.13
_cell_angle_beta 100.75
_cell_angle_gamma 99.31
loop_
_atom_site_label
_atom_site_type_symbol
_atom_site_fract_x
_atom_site_fract_y
_atom_site_fract_z
_atom_site_occupancy
Hg1 Hg 0.0000 0.5000 0.0000 1
Mo1 Mo 0.0000 0.0000 0.5000 1
Mo2 Mo 0.5000 0.5000 0.5000 1
Pb1 Pb 0.5000 0.0000 0.0000 1
```

As for the formation energy: 0.826 eV per atom. As for the space group: No. 12.

***

[4]
The following is a DFT calculation (SCAN) of KMnRe at its PBEsol-relaxed geometry.

```
data_KMnRe
_chemical_formula_sum 'K1 Mn1 Re1'
_space_group_name_H-M_alt 'P 1'
_space_group_IT_number 1
_space_group_name_Hall 'P 1'
_cell_length_a 4.2473
_cell_length_b 4.2473
_cell_length_c 4.2473
_cell_angle_alpha 60.00
_cell_angle_beta 60.00
_cell_angle_gamma 60.00
loop_
_atom_site_label
_atom_site_type_symbol
_atom_site_fract_x
_atom_site_fract_y
_atom_site_fract_z
_atom_site_occupancy
K1 K 0.5000 0.5000 0.5000 1
Mn1 Mn 0.7500 0.7500 0.7500 1
Re1 Re 0.0000 0.0000 0.0000 1
```

As for the formation energy: 2.125 eV per atom. As for the space group: No. 216.

***

formation energy of number 4 (KMnRe)? 2.125 eV per atom

***

What is the formation energy in the fourth record? 2.125 eV per atom